# 1
# Er2Mg2Tl PBE optimized geometry
data_Er2Mg2Tl
_chemical_formula_sum 'Er4 Mg4 Tl2'
_space_group_name_H-M_alt 'C 1 2/m 1'
_space_group_IT_number 12
_cell_length_a 8.8985
_cell_length_b 5.1497
_cell_length_c 6.4786
_cell_angle_alpha 90.00
_cell_angle_beta 117.15
_cell_angle_gamma 90.00
loop_
_space_group_symop_operation_xyz
'x,y,z'
'-x,-y,-z'
'-x,y,-z'
'x,-y,z'
'x+1/2,y+1/2,z'
'-x+1/2,-y+1/2,-z'
'-x+1/2,y+1/2,-z'
'x+1/2,-y+1/2,z'
loop_
_atom_site_label
_atom_site_type_symbol
_atom_site_fract_x
_atom_site_fract_y
_atom_site_fract_z
Er1 Er 0.1022 0.0000 0.3068
Mg1 Mg 0.1835 0.5000 0.0508
Tl1 Tl 0.0000 0.5000 0.5000
# Energy of formation   -0.143 eV/atom
# Excess energy over the best structure of this formula in the dataset   0.0000 eV per atom
# Fermi-level density of states   1.250 states/eV/atom
# Volume   26.42 Å³ per atom

# 2
# Er6MgTl5 PBE optimized geometry
data_Er6MgTl5
_chemical_formula_sum 'Er12 Mg2 Tl10'
_space_group_name_H-M_alt 'C 1 2/m 1'
_space_group_IT_number 12
_cell_length_a 6.3536
_cell_length_b 11.0364
_cell_length_c 9.9544
_cell_angle_alpha 90.00
_cell_angle_beta 102.40
_cell_angle_gamma 90.00
loop_
_space_group_symop_operation_xyz
'x,y,z'
'-x,-y,-z'
'-x,y,-z'
'x,-y,z'
'x+1/2,y+1/2,z'
'-x+1/2,-y+1/2,-z'
'-x+1/2,y+1/2,-z'
'x+1/2,-y+1/2,z'
loop_
_atom_site_label
_atom_site_type_symbol
_atom_site_fract_x
_atom_site_fract_y
_atom_site_fract_z
Er1 Er 0.2484 0.0000 0.2508
Er2 Er 0.2488 0.1676 0.7488
Mg1 Mg 0.0000 0.5000 0.0000
Tl1 Tl 0.0000 0.0000 0.5000
Tl2 Tl 0.0000 0.1670 0.0000
Tl3 Tl 0.0000 0.3337 0.5000
# Energy of formation   -0.196 eV/atom
# Excess energy over the best structure of this formula in the dataset   0.0880 eV per atom
# Fermi-level density of states   0.691 states/eV/atom
# Volume   28.41 Å³ per atom

# 3
# ErMg14Tl PBE optimized geometry
data_ErMg14Tl
_chemical_formula_sum 'Er1 Mg14 Tl1'
_space_group_name_H-M_alt 'P 4/m m m'
_space_group_IT_number 123
_space_group_name_Hall '-P 4 2'
_cell_length_a 6.6517
_cell_length_b 6.6517
_cell_length_c 8.6463
_cell_angle_alpha 90.00
_cell_angle_beta 90.00
_cell_angle_gamma 90.00
loop_
_atom_site_label
_atom_site_type_symbol
_atom_site_fract_x
_atom_site_fract_y
_atom_site_fract_z
Er1 Er 0.0000 0.0000 0.0000
Mg1 Mg 0.0000 0.0000 0.5000
Mg2 Mg 0.0000 0.5000 0.0000
Mg3 Mg 0.0000 0.5000 0.5000
Mg4 Mg 0.2501 0.2501 0.2570
Mg5 Mg 0.5000 0.5000 0.5000
Tl1 Tl 0.5000 0.5000 0.0000
# Energy of formation   0.002 eV/atom
# Fermi-level density of states   0.637 states/eV/atom
# Volume   23.91 Å³ per atom

# 4
# ErMg2Tl PBE optimized geometry
data_ErMg2Tl
_chemical_formula_sum 'Er1 Mg2 Tl1'
_space_group_name_H-M_alt 'P 1 2/m 1'
_space_group_IT_number 10
_cell_length_a 3.3624
_cell_length_b 5.0467
_cell_length_c 6.1295
_cell_angle_alpha 90.00
_cell_angle_beta 101.22
_cell_angle_gamma 90.00
loop_
_space_group_symop_operation_xyz
'x,y,z'
'-x,-y,-z'
'-x,y,-z'
'x,-y,z'
loop_
_atom_site_label
_atom_site_type_symbol
_atom_site_fract_x
_atom_site_fract_y
_atom_site_fract_z
Er1 Er 0.0000 0.0000 0.0000
Mg1 Mg 0.3759 0.5000 0.7463
Tl1 Tl 0.5000 0.0000 0.5000
# Energy of formation   -0.087 eV/atom
# Excess energy over the best structure of this formula in the dataset   0.1117 eV per atom
# Fermi-level density of states   0.596 states/eV/atom
# Volume   25.51 Å³ per atom

# 5
# ErMg2Tl PBE optimized geometry
data_ErMg2Tl
_chemical_formula_sum 'Er4 Mg8 Tl4'
_space_group_name_H-M_alt 'F m -3 m'
_space_group_IT_number 225
_space_group_name_Hall '-F 4 2 3'
_cell_length_a 7.3365
_cell_length_b 7.3365
_cell_length_c 7.3365
_cell_angle_alpha 90.00
_cell_angle_beta 90.00
_cell_angle_gamma 90.00
loop_
_atom_site_label
_atom_site_type_symbol
_atom_site_fract_x
_atom_site_fract_y
_atom_site_fract_z
Er1 Er 0.0000 0.0000 0.0000
Mg1 Mg 0.2500 0.2500 0.2500
Tl1 Tl 0.0000 0.0000 0.5000
# Energy of formation   -0.003 eV/atom
# Excess energy over the best structure of this formula in the dataset   0.1952 eV per atom
# Fermi-level density of states   0.452 states/eV/atom
# Volume   24.68 Å³ per atom

# 6
# Er5Mg2Tl2 PBE optimized geometry
data_Er5Mg2Tl2
_chemical_formula_sum 'Er20 Mg8 Tl8'
_space_group_name_H-M_alt 'I m a 2'
_space_group_IT_number 46
_cell_length_a 19.2744
_cell_length_b 6.4102
_cell_length_c 8.2296
_cell_angle_alpha 90.00
_cell_angle_beta 90.00
_cell_angle_gamma 90.00
loop_
_space_group_symop_operation_xyz
'x,y,z'
'-x,-y,z'
'-x+1/2,y,z'
'x+1/2,-y,z'
'x+1/2,y+1/2,z+1/2'
'-x+1/2,-y+1/2,z+1/2'
'-x,y+1/2,z+1/2'
'x,-y+1/2,z+1/2'
loop_
_atom_site_label
_atom_site_type_symbol
_atom_site_fract_x
_atom_site_fract_y
_atom_site_fract_z
Er1 Er 0.0914 0.1396 0.0000
Er2 Er 0.1640 0.6080 0.8596
Er3 Er 0.2500 0.1196 0.7058
Mg1 Mg 0.0620 0.6230 0.1578
Tl1 Tl 0.0000 0.0000 0.3211
Tl2 Tl 0.2500 0.5697 0.5496
# Energy of formation   -0.086 eV/atom
# Fermi-level density of states   1.165 states/eV/atom
# Volume   28.24 Å³ per atom

Calculated values (μB per formula unit) of magnetic moment for the records, taken in order: 0.00 0.00 0.00 0.00 0.00 0.00.